Material: YAlCuAg
Method: DFT, PBE
State: optimized geometry

Values from the calculation:
The distance to the lowest polymorph of the same formula is 0.000 eV per atom. Its total energy is -4.506 eV/atom. The size of the total moment comes out at 0.00 μB per formula unit.

```
data_YAlCuAg
_symmetry_space_group_name_H-M 'F -4 3 m'
_symmetry_Int_Tables_number 216
_symmetry_space_group_name_Hall 'F -4 2 3'
_cell_length_a 6.670
_cell_length_b 6.670
_cell_length_c 6.670
_cell_angle_alpha 90.00
_cell_angle_beta 90.00
_cell_angle_gamma 90.00
loop_
_atom_site_label
_atom_site_type_symbol
_atom_site_fract_x
_atom_site_fract_y
_atom_site_fract_z
_atom_site_occupancy
Y1 Y 0.000 0.000 0.000 1
Al1 Al 0.000 0.000 0.500 1
Cu1 Cu 0.250 0.250 0.750 1
Ag1 Ag 0.250 0.250 0.250 1
```